(1)
{
  "formula": "DyMg4Sc3",
  "functional": "GGA-PBE",
  "state": "optimized geometry",
  "magmom_total_mub_per_cell": 0.000,
  "space_group": "Pmma",
  "dos_at_fermi_per_ev_atom": 1.33,
  "ef_kj_per_mol_atoms": -4,
  "final_energy_ev_per_atom": -3.79,
  "density_g_cm3": 3.38,
  "lattice": [[10.313, 0.000, 0.000], [0.000, 7.283, 0.000], [0.000, 0.000, 5.157]],
  "species": ["Dy", "Dy", "Mg", "Mg", "Mg", "Mg", "Mg", "Mg", "Mg", "Mg", "Sc", "Sc", "Sc", "Sc", "Sc", "Sc"],
  "frac_coords": [[0.000, 0.000, 0.000], [0.500, 0.000, 0.000], [0.000, 0.259, 0.500], [0.000, 0.741, 0.500], [0.250, 0.259, 0.004], [0.250, 0.741, 0.004], [0.500, 0.259, 0.500], [0.500, 0.741, 0.500], [0.750, 0.259, 0.996], [0.750, 0.741, 0.996], [0.000, 0.500, 0.000], [0.250, 0.000, 0.503], [0.250, 0.500, 0.504], [0.500, 0.500, 0.000], [0.750, 0.000, 0.497], [0.750, 0.500, 0.496]]
}

(2)
{
  "formula": "Sm11Mg9Cd4",
  "functional": "GGA-PBE",
  "state": "optimized geometry",
  "magmom_total_mub_per_cell": 0.000,
  "space_group": "Cmmm",
  "dos_at_fermi_per_ev_atom": 1.06,
  "ef_kj_per_mol_atoms": -14,
  "final_energy_ev_per_atom": -3.06,
  "density_g_cm3": 5.71,
  "lattice": [[7.695, -11.461, 0.000], [7.695, 11.461, 0.000], [0.000, 0.000, 3.830]],
  "species": ["Sm", "Sm", "Sm", "Sm", "Sm", "Sm", "Sm", "Sm", "Sm", "Sm", "Sm", "Mg", "Mg", "Mg", "Mg", "Mg", "Mg", "Mg", "Mg", "Mg", "Cd", "Cd", "Cd", "Cd"],
  "frac_coords": [[0.000, 0.000, 0.000], [0.068, 0.412, 0.000], [0.168, 0.832, 0.000], [0.258, 0.258, 0.000], [0.348, 0.652, 0.000], [0.412, 0.068, 0.000], [0.588, 0.932, 0.000], [0.652, 0.348, 0.000], [0.742, 0.742, 0.000], [0.832, 0.168, 0.000], [0.932, 0.588, 0.000], [0.046, 0.207, 0.500], [0.141, 0.626, 0.500], [0.207, 0.046, 0.500], [0.374, 0.859, 0.500], [0.500, 0.500, 0.500], [0.626, 0.141, 0.500], [0.793, 0.954, 0.500], [0.859, 0.374, 0.500], [0.954, 0.793, 0.500], [0.267, 0.450, 0.500], [0.450, 0.267, 0.500], [0.550, 0.733, 0.500], [0.733, 0.550, 0.500]]
}

(3)
{
  "formula": "La2HgGe",
  "functional": "GGA-PBE",
  "state": "optimized geometry",
  "magmom_total_mub_per_cell": 0.669,
  "space_group": "R-3m",
  "dos_at_fermi_per_ev_atom": 1.24,
  "ef_kj_per_mol_atoms": -55,
  "final_energy_ev_per_atom": -4.26,
  "density_g_cm3": 6.93,
  "lattice": [[2.220, 1.282, 7.731], [-2.220, 1.282, 7.731], [0.000, -2.563, 7.731]],
  "species": ["La", "La", "Hg", "Ge"],
  "frac_coords": [[0.238, 0.238, 0.238], [0.762, 0.762, 0.762], [0.000, 0.000, 0.000], [0.500, 0.500, 0.500]]
}

(4)
{
  "formula": "BeV2N",
  "functional": "GGA-PBE",
  "state": "optimized geometry",
  "magmom_total_mub_per_cell": 0.000,
  "space_group": "Fm-3m",
  "dos_at_fermi_per_ev_atom": 1.05,
  "final_energy_ev_per_atom": -7.12,
  "formation_energy_uncorrected_ev_per_atom": 0.447,
  "density_g_cm3": 5.33,
  "lattice": [[0.000, 2.690, 2.690], [2.690, 0.000, 2.690], [2.690, 2.690, 0.000]],
  "species": ["Be", "V", "V", "N"],
  "frac_coords": [[0.000, 0.000, 0.000], [0.250, 0.250, 0.250], [0.750, 0.750, 0.750], [0.500, 0.500, 0.500]]
}

(5)
{
  "formula": "InAuSeBr2",
  "functional": "GGA-PBE",
  "state": "optimized geometry",
  "magmom_total_mub_per_cell": 0.691,
  "space_group": "P4/mmm",
  "dos_at_fermi_per_ev_atom": 0.99,
  "final_energy_ev_per_atom": -2.61,
  "formation_energy_uncorrected_ev_per_atom": -0.037,
  "density_g_cm3": 6.04,
  "lattice": [[5.366, 0.000, 0.000], [0.000, 5.366, 0.000], [0.000, 0.000, 5.260]],
  "species": ["In", "Au", "Se", "Br", "Br"],
  "frac_coords": [[0.000, 0.000, 0.000], [0.500, 0.500, 0.500], [0.500, 0.500, 0.000], [0.000, 0.500, 0.500], [0.500, 0.000, 0.500]]
}

(6)
{
  "formula": "Zr5PaC4",
  "functional": "GGA-PBE",
  "state": "optimized geometry",
  "magmom_total_mub_per_cell": 0.000,
  "space_group": "C2/m",
  "dos_at_fermi_per_ev_atom": 0.60,
  "ef_kj_per_mol_atoms": -54,
  "final_energy_ev_per_atom": -9.48,
  "density_g_cm3": 7.31,
  "lattice": [[7.386, -1.701, 0.000], [7.386, 1.701, 0.000], [-1.640, 0.000, 6.643]],
  "species": ["Zr", "Zr", "Zr", "Zr", "Zr", "Pa", "C", "C", "C", "C"],
  "frac_coords": [[0.000, 0.000, 0.000], [0.332, 0.332, 0.180], [0.333, 0.333, 0.649], [0.667, 0.667, 0.351], [0.668, 0.668, 0.820], [0.000, 0.000, 0.500], [0.172, 0.172, 0.592], [0.495, 0.495, 0.236], [0.505, 0.505, 0.764], [0.828, 0.828, 0.408]]
}

(7)
{
  "formula": "Li3CuBi",
  "functional": "GGA-PBE",
  "state": "optimized geometry",
  "magmom_total_mub_per_cell": 0.000,
  "space_group": "Ima2",
  "dos_at_fermi_per_ev_atom": 0.15,
  "ef_kj_per_mol_atoms": -14,
  "final_energy_ev_per_atom": -2.89,
  "density_g_cm3": 4.84,
  "lattice": [[-4.803, 3.475, 3.017], [4.803, -3.475, 3.017], [4.803, 3.475, -3.017]],
  "species": ["Li", "Li", "Li", "Li", "Li", "Li", "Cu", "Cu", "Bi", "Bi"],
  "frac_coords": [[0.207, 0.002, 0.705], [0.250, 0.013, 0.262], [0.250, 0.487, 0.737], [0.296, 0.502, 0.295], [0.750, 0.513, 0.263], [0.750, 0.987, 0.738], [0.252, 0.752, 0.000], [0.752, 0.252, 0.000], [0.698, 0.501, 0.697], [0.805, 0.001, 0.303]]
}

(8)
{
  "formula": "ScTaIr2",
  "functional": "GGA-PBE",
  "state": "optimized geometry",
  "magmom_total_mub_per_cell": 0.000,
  "space_group": "P4mm",
  "dos_at_fermi_per_ev_atom": 1.19,
  "ef_kj_per_mol_atoms": -19,
  "final_energy_ev_per_atom": -9.17,
  "density_g_cm3": 14.61,
  "lattice": [[2.914, 0.000, 0.000], [0.000, 2.914, 0.000], [0.000, 0.000, 8.171]],
  "species": ["Sc", "Ta", "Ir", "Ir"],
  "frac_coords": [[0.000, 0.000, 0.000], [0.500, 0.500, 0.320], [0.000, 0.000, 0.538], [0.500, 0.500, 0.779]]
}

(9)
{
  "formula": "YTlHgBr6",
  "functional": "GGA-PBE",
  "state": "optimized geometry",
  "magmom_total_mub_per_cell": 0.000,
  "space_group": "P-31c",
  "dos_at_fermi_per_ev_atom": 0.00,
  "final_energy_ev_per_atom": -3.29,
  "formation_energy_uncorrected_ev_per_atom": -1.162,
  "density_g_cm3": 4.75,
  "lattice": [[7.351, 0.000, 0.000], [-3.676, 6.366, 0.000], [0.000, 0.000, 14.545]],
  "species": ["Y", "Y", "Tl", "Tl", "Hg", "Hg", "Br", "Br", "Br", "Br", "Br", "Br", "Br", "Br", "Br", "Br", "Br", "Br"],
  "frac_coords": [[0.333, 0.667, 0.250], [0.667, 0.333, 0.750], [0.000, 0.000, 0.000], [0.000, 0.000, 0.500], [0.333, 0.667, 0.750], [0.667, 0.333, 0.250], [0.005, 0.373, 0.137], [0.005, 0.631, 0.363], [0.369, 0.373, 0.363], [0.369, 0.995, 0.137], [0.373, 0.005, 0.637], [0.373, 0.369, 0.863], [0.627, 0.631, 0.137], [0.627, 0.995, 0.363], [0.631, 0.005, 0.863], [0.631, 0.627, 0.637], [0.995, 0.369, 0.637], [0.995, 0.627, 0.863]]
}

(10)
{
  "formula": "Ac2Zn6NiAu",
  "functional": "GGA-PBE",
  "state": "optimized geometry",
  "magmom_total_mub_per_cell": 0.000,
  "space_group": "I4/mmm",
  "dos_at_fermi_per_ev_atom": 0.46,
  "ef_kj_per_mol_atoms": -24,
  "final_energy_ev_per_atom": -2.74,
  "density_g_cm3": 8.22,
  "lattice": [[-3.405, 3.405, 4.798], [3.405, -3.405, 4.798], [3.405, 3.405, -4.798]],
  "species": ["Ac", "Ac", "Zn", "Zn", "Zn", "Zn", "Zn", "Zn", "Ni", "Au"],
  "frac_coords": [[0.250, 0.750, 0.500], [0.750, 0.250, 0.500], [0.239, 0.239, 0.000], [0.239, 0.239, 0.478], [0.239, 0.761, 0.000], [0.761, 0.239, 0.000], [0.761, 0.761, 0.000], [0.761, 0.761, 0.522], [0.000, 0.000, 0.000], [0.500, 0.500, 0.000]]
}

(11)
{
  "formula": "Sm3Tm4Sc2",
  "functional": "GGA-PBE",
  "state": "optimized geometry",
  "magmom_total_mub_per_cell": 0.000,
  "space_group": "C2/c",
  "dos_at_fermi_per_ev_atom": 1.52,
  "ef_kj_per_mol_atoms": 11,
  "final_energy_ev_per_atom": -4.85,
  "density_g_cm3": 7.50,
  "lattice": [[7.969, -5.688, 0.000], [7.969, 5.688, 0.000], [-0.721, 0.000, 5.943]],
  "species": ["Sm", "Sm", "Sm", "Sm", "Sm", "Sm", "Tm", "Tm", "Tm", "Tm", "Tm", "Tm", "Tm", "Tm", "Sc", "Sc", "Sc", "Sc"],
  "frac_coords": [[0.133, 0.867, 0.750], [0.184, 0.478, 0.919], [0.478, 0.184, 0.419], [0.522, 0.816, 0.581], [0.816, 0.522, 0.081], [0.867, 0.133, 0.250], [0.109, 0.331, 0.384], [0.318, 0.559, 0.461], [0.331, 0.109, 0.884], [0.441, 0.682, 0.039], [0.559, 0.318, 0.961], [0.669, 0.891, 0.116], [0.682, 0.441, 0.539], [0.891, 0.669, 0.616], [0.020, 0.774, 0.201], [0.226, 0.980, 0.299], [0.774, 0.020, 0.701], [0.980, 0.226, 0.799]]
}

(12)
{
  "formula": "NaLi3Ga8",
  "functional": "GGA-PBE",
  "state": "optimized geometry",
  "magmom_total_mub_per_cell": 0.000,
  "space_group": "P3m1",
  "dos_at_fermi_per_ev_atom": 0.19,
  "ef_kj_per_mol_atoms": -18,
  "final_energy_ev_per_atom": -2.79,
  "density_g_cm3": 4.39,
  "lattice": [[5.487, 0.000, 0.000], [-2.744, 4.752, 0.000], [0.000, 0.000, 8.735]],
  "species": ["Na", "Li", "Li", "Li", "Ga", "Ga", "Ga", "Ga", "Ga", "Ga", "Ga", "Ga"],
  "frac_coords": [[0.000, 0.000, 0.000], [0.000, 0.000, 0.369], [0.667, 0.333, 0.502], [0.667, 0.333, 0.856], [0.161, 0.323, 0.679], [0.161, 0.839, 0.679], [0.333, 0.667, 0.434], [0.333, 0.667, 0.934], [0.506, 0.012, 0.189], [0.506, 0.494, 0.189], [0.677, 0.839, 0.679], [0.988, 0.494, 0.189]]
}

(13)
{
  "formula": "YCo3Tc",
  "functional": "GGA-PBE",
  "state": "optimized geometry",
  "magmom_total_mub_per_cell": 1.224,
  "space_group": "Pm-3m",
  "dos_at_fermi_per_ev_atom": 1.40,
  "ef_kj_per_mol_atoms": 61,
  "final_energy_ev_per_atom": -7.00,
  "density_g_cm3": 6.83,
  "lattice": [[4.456, 0.000, 0.000], [0.000, 4.456, 0.000], [0.000, 0.000, 4.456]],
  "species": ["Y", "Co", "Co", "Co", "Tc"],
  "frac_coords": [[0.000, 0.000, 0.000], [0.000, 0.500, 0.500], [0.500, 0.000, 0.500], [0.500, 0.500, 0.000], [0.500, 0.500, 0.500]]
}

(14)
{
  "formula": "PmNd2Bi2",
  "functional": "GGA-PBE",
  "state": "optimized geometry",
  "magmom_total_mub_per_cell": 0.000,
  "space_group": "Ibam",
  "dos_at_fermi_per_ev_atom": 0.85,
  "ef_kj_per_mol_atoms": -63,
  "final_energy_ev_per_atom": -5.06,
  "density_g_cm3": 7.99,
  "lattice": [[-4.476, 6.087, 3.246], [4.476, -6.087, 3.246], [4.476, 6.087, -3.246]],
  "species": ["Pm", "Pm", "Nd", "Nd", "Nd", "Nd", "Bi", "Bi", "Bi", "Bi"],
  "frac_coords": [[0.250, 0.250, 0.000], [0.750, 0.750, 0.000], [0.150, 0.643, 0.793], [0.350, 0.143, 0.492], [0.650, 0.857, 0.508], [0.850, 0.357, 0.207], [0.111, 0.285, 0.395], [0.389, 0.785, 0.174], [0.611, 0.215, 0.826], [0.889, 0.715, 0.605]]
}

(15)
{
  "formula": "CeMg6Bi",
  "functional": "GGA-PBE",
  "state": "optimized geometry",
  "magmom_total_mub_per_cell": 0.931,
  "space_group": "Amm2",
  "dos_at_fermi_per_ev_atom": 1.21,
  "ef_kj_per_mol_atoms": -6,
  "final_energy_ev_per_atom": -2.48,
  "density_g_cm3": 4.03,
  "lattice": [[5.305, 0.000, 0.000], [0.000, 3.206, 6.003], [0.000, -3.206, 6.003]],
  "species": ["Ce", "Mg", "Mg", "Mg", "Mg", "Mg", "Mg", "Bi"],
  "frac_coords": [[0.000, 0.000, 0.000], [0.000, 0.496, 0.999], [0.000, 0.999, 0.496], [0.500, 0.139, 0.652], [0.500, 0.164, 0.164], [0.500, 0.652, 0.139], [0.500, 0.656, 0.656], [0.000, 0.494, 0.494]]
}